Computed, not measured: a relaxed KNbBr3 crystal at the PBE level of DFT.

Lattice parameters (Å, degrees): 4.925 4.925 8.101 90.00 90.00 90.00
Last column: magnetic moment on the atom in μB.
Fractional coordinates of all 5 atoms:
Br (0.000, 0.000, 0.092)  0.01
Br (0.500, 0.000, 0.734)  -0.04
Br (0.000, 0.500, 0.734)  0.01
K (0.000, 0.000, 0.468)  0.00
Nb (0.500, 0.500, 0.873)  2.44

Total magnetization ... 3.00 μB/f.u.
Calculated volume ... 196.5 Å³/f.u.

---

Computed, not measured: a relaxed Cs2NbTlS6 crystal at the PBE level of DFT.

Lattice parameters (Å, degrees): 7.336 7.336 7.336 120.02 120.02 89.97
Fractional coordinates of all 10 atoms:
Cs (0.750, 0.250, 0.500)
Cs (0.250, 0.750, 0.500)
Nb (0.000, 0.000, 0.000)
S (0.235, 0.235, 0.000)
S (0.765, 0.765, 0.000)
S (0.241, 0.771, 0.011)
S (0.229, 0.241, 0.470)
S (0.771, 0.759, 0.530)
S (0.759, 0.229, 0.989)
Tl (0.500, 0.500, 0.000)

Total magnetization ... 0.33 μB/f.u.
Calculated volume ... 279.1 Å³/f.u.

---

Computed, not measured: a relaxed Ta2FeB crystal at the PBE level of DFT.

Lattice parameters (Å, degrees): 4.263 4.263 4.263 60.00 60.00 60.00
Last column: magnetic moment on the atom in μB.
Fractional coordinates of all 4 atoms:
B (0.500, 0.500, 0.500)  -0.02
Fe (0.250, 0.250, 0.250)  1.38
Ta (0.000, 0.000, 0.000)  0.09
Ta (0.750, 0.750, 0.750)  0.74

Total magnetization ... 2.38 μB/f.u.
Calculated volume ... 54.8 Å³/f.u.

---

Computed, not measured: a relaxed Sm2GeO5 crystal at the PBE level of DFT.

Lattice parameters (Å, degrees): 6.855 8.278 9.794 109.03 69.52 114.46
Fractional coordinates of all 32 atoms:
Ge (0.778, 0.552, 0.183)
Ge (0.409, 0.948, 0.317)
Ge (0.591, 0.052, 0.683)
Ge (0.222, 0.448, 0.817)
O (0.641, 0.437, 0.038)
O (0.117, 0.138, 0.098)
O (0.396, 0.987, 0.152)
O (0.946, 0.772, 0.168)
O (0.917, 0.415, 0.188)
O (0.690, 0.085, 0.312)
O (0.342, 0.728, 0.332)
O (0.561, 0.513, 0.348)
O (0.078, 0.362, 0.402)
O (0.242, 0.063, 0.462)
O (0.758, 0.937, 0.538)
O (0.922, 0.638, 0.598)
O (0.439, 0.487, 0.652)
O (0.658, 0.272, 0.668)
O (0.310, 0.915, 0.688)
O (0.083, 0.585, 0.812)
O (0.054, 0.228, 0.832)
O (0.604, 0.013, 0.848)
O (0.883, 0.862, 0.902)
O (0.359, 0.563, 0.962)
Sm (0.789, 0.111, 0.042)
Sm (0.280, 0.442, 0.169)
Sm (0.007, 0.058, 0.331)
Sm (0.720, 0.389, 0.458)
Sm (0.280, 0.611, 0.542)
Sm (0.993, 0.942, 0.669)
Sm (0.720, 0.558, 0.831)
Sm (0.211, 0.889, 0.958)

Total magnetization ... 0.00 μB/f.u.
Calculated volume ... 115.8 Å³/f.u.

---

Computed calculated total energy, in the same sequence as the records: -3.738, -4.361, -9.026, -7.710 eV per atom.